Entry 1:
Below is an optimized crystal structure of Ho5Co2Sn, with properties calculated at the PBE level.

```
16
Lattice="-2.550 -7.124 0.397 2.749 -1.371 -6.926 5.702 2.320 5.949" Properties=species:S:1:pos:R:3 pbc="T T T"
Ho 2.960 -3.619 3.219
Ho 0.000 0.000 0.000
Ho 5.574 0.784 0.730
Co -1.248 -4.698 -0.675
Ho 1.108 -3.150 -0.264
Ho 4.793 -3.024 -0.316
Sn 2.901 -0.964 1.342
Ho 0.100 -4.247 -3.264
Co 1.448 -3.796 -5.854
Ho 2.160 -6.364 -4.844
Co -0.466 -7.039 -4.045
Ho 2.941 -2.555 -3.798
Ho 0.327 -6.958 -1.310
Sn 3.001 -5.211 -1.922
Co 0.666 -1.455 -2.483
Ho 3.741 0.189 4.265
```

The value obtained for the calculated density is 9.195 g cm⁻³. For the volume, the calculation gives 23.96 Å³ per atom. The space group is I4/mcm. The formation energy is -354.9 meV/atom. As for the raw total energy: -5.493 eV per atom. The calculation puts the density of states at the Fermi level at 1.21 states/eV/atom.



Entry 2:
Below is an optimized crystal structure of LaNd6Sm, with properties calculated at the PBE level.

```
8
Lattice="5.207 0.000 0.000 0.000 5.207 0.000 0.000 0.000 10.424" Properties=species:S:1:pos:R:3 pbc="T T T"
Sm 0.000 0.000 5.212
Nd 2.604 2.604 5.212
Nd 2.604 0.000 7.794
Nd 0.000 2.604 2.630
Nd 0.000 2.604 7.794
Nd 2.604 0.000 2.630
La 0.000 0.000 0.000
Nd 2.604 2.604 0.000
```

The value obtained for the calculated density is 6.784 g cm⁻³. For the volume, the calculation gives 35.33 Å³ per atom. The space group is P4/mmm. The formation energy is 14.1 meV/atom. As for the raw total energy: -4.768 eV per atom. The calculation puts the density of states at the Fermi level at 1.71 states/eV/atom.



Entry 3:
Below is an optimized crystal structure of Mn2CuHgPd, with properties calculated at the PBE level.

```
5
Lattice="-4.692 1.666 -0.236 -1.562 -4.596 -1.400 -0.676 -1.227 4.784" Properties=species:S:1:pos:R:3 pbc="T T T"
Mn -2.346 0.833 -0.118
Hg 0.000 0.000 0.000
Mn -0.338 -0.614 2.392
Cu -3.465 -2.079 1.574
Pd -0.781 -2.298 -0.700
```

The value obtained for the calculated density is 6.354 g cm⁻³. For the volume, the calculation gives 25.11 Å³ per atom. The space group is P4/mmm. The formation energy is 1297.2 meV/atom. As for the raw total energy: -4.289 eV per atom. The calculation puts the density of states at the Fermi level at 0.73 states/eV/atom.



Entry 4:
Below is an optimized crystal structure of Ac2SmEr, with properties calculated at the PBE level.

```
4
Lattice="3.881 0.000 0.000 0.000 3.881 0.000 0.000 0.000 10.090" Properties=species:S:1:pos:R:3 pbc="T T T"
Ac 0.000 0.000 2.475
Ac 0.000 0.000 7.615
Sm 1.940 1.940 5.045
Er 1.940 1.940 0.000
```

The value obtained for the calculated density is 8.432 g cm⁻³. For the volume, the calculation gives 37.99 Å³ per atom. The space group is P4/mmm. The formation energy is 49.5 meV/atom. As for the raw total energy: -4.325 eV per atom. For the distance to the lowest polymorph of the same formula, the calculation gives 7 meV per atom. The calculation puts the density of states at the Fermi level at 1.56 states/eV/atom.



Entry 5:
Below is an optimized crystal structure of BaLiMg8Zn2, with properties calculated at the PBE level.

```
12
Lattice="-4.767 0.546 -3.299 -3.856 -4.355 0.281 -9.978 1.807 5.014" Properties=species:S:1:pos:R:3 pbc="T T T"
Ba -4.989 0.903 2.507
Mg -5.785 -2.437 0.730
Zn -10.467 0.184 2.917
Li 0.000 0.000 0.000
Mg -12.816 0.435 1.265
Mg -3.094 -0.964 -0.532
Mg -15.507 -1.038 2.528
Mg -12.366 -1.981 3.030
Mg -7.953 -0.402 1.475
Mg -10.648 -1.600 0.520
Zn -8.134 -2.186 -0.921
Mg -6.235 -0.021 -1.035
```

The value obtained for the calculated density is 2.766 g cm⁻³. For the volume, the calculation gives 23.49 Å³ per atom. The space group is C2/m. The formation energy is -44.2 meV/atom. As for the raw total energy: -1.639 eV per atom. The calculation puts the density of states at the Fermi level at 0.50 states/eV/atom.



Entry 6:
Below is an optimized crystal structure of Ba2ZrS4, with properties calculated at the PBE level.

```
14
Lattice="-5.679 -0.785 -4.602 4.502 -1.456 -5.309 1.792 -7.905 3.688" Properties=species:S:1:pos:R:3 pbc="T T T"
Ba 1.173 -8.109 0.837
S 2.900 -7.694 -4.904
S -0.083 -3.165 -3.914
Zr -1.628 -7.278 -1.767
S -3.060 -6.095 -3.306
S -2.286 -2.453 -1.318
Ba 0.010 -6.173 -5.444
Zr 2.243 -2.868 -4.456
S 4.563 -8.438 -0.960
S 0.698 -6.981 -2.308
Ba 0.605 -3.974 -0.779
S -3.948 -1.708 -5.262
Ba -0.558 -2.037 -7.059
S 3.675 -4.051 -2.917
```

The value obtained for the calculated density is 3.720 g cm⁻³. The formation energy from raw total energies comes out at -1.83 eV/atom. For the volume, the calculation gives 31.51 Å³ per atom. The space group is P2_1/m. As for the raw total energy: -5.964 eV per atom. For the distance to the lowest polymorph of the same formula, the calculation gives 56 meV per atom. The calculation puts the density of states at the Fermi level at 0.00 states/eV/atom.



Entry 7:
Below is an optimized crystal structure of RbTiS2, with properties calculated at the PBE level.

```
8
Lattice="13.316 0.143 0.049 -1.982 5.674 -0.056 5.649 2.950 3.645" Properties=species:S:1:pos:R:3 pbc="T T T"
S 12.729 0.711 0.723
S 8.295 5.580 3.154
Rb 15.125 2.387 2.775
Rb 5.040 6.820 2.699
Ti 10.086 4.582 2.019
Ti 11.076 1.744 2.013
S 9.445 2.760 0.682
S 11.856 3.596 3.198
```

The value obtained for the calculated density is 2.370 g cm⁻³. The formation energy from raw total energies comes out at -1.33 eV/atom. For the volume, the calculation gives 34.59 Å³ per atom. The space group is P1. As for the raw total energy: -5.611 eV per atom. The calculation puts the density of states at the Fermi level at 0.00 states/eV/atom.



Entry 8:
Below is an optimized crystal structure of POs3Pt, with properties calculated at the PBE level.

```
5
Lattice="-4.068 -1.263 -0.763 0.150 -2.580 3.472 -1.468 3.237 2.469" Properties=species:S:1:pos:R:3 pbc="T T T"
Os 0.075 -1.290 1.736
Os -2.034 -0.632 -0.382
P 0.000 0.000 0.000
Pt -2.693 -0.303 2.588
Os -0.734 1.618 1.234
```

The value obtained for the calculated density is 16.324 g cm⁻³. For the volume, the calculation gives 16.21 Å³ per atom. The space group is Pm-3m. The formation energy is 1008.9 meV/atom. As for the raw total energy: -8.019 eV per atom. For the distance to the lowest polymorph of the same formula, the calculation gives 0 meV per atom. The calculation puts the density of states at the Fermi level at 1.17 states/eV/atom.



> Among the records above, which one has the lowest raw total energy?

POs3Pt